Below is crystalline SbTe2IrPt at its relaxed geometry, with properties calculated at the PBE level.

## Properties
E: -21.13 eV/cell
ΔE to the lowest computed polymorph: 0.000 eV/atom
V: 137.0 Å³ per cell

abc: 5.250 5.250 4.971
angles: 90.00 90.00 90.00
Space group P4/mmm (No. 123)
Symmetry-distinct sites (fractional):
1 Sb 0.000 0.000 0.000 [1 per cell]
2 Te 0.000 0.500 0.500 [2 per cell]
3 Ir 0.000 0.000 0.500 [1 per cell]
4 Pt 0.500 0.500 0.000 [1 per cell]